Computed, not measured: a relaxed structure of Rb2ZrU2Te6 at the PBE level of DFT.

Lattice parameters (Å, degrees): 7.4686 12.8933 9.2886 90.00 106.11 90.00
Space group C2/m (No. 12)
Unique sites:
Rb  0.0000  0.1694  0.0000 x4
Zr  0.0000  0.0000  0.5000 x2
U  0.0000  0.3319  0.5000 x4
Te  0.2313  0.1588  0.6995 x8
Te  0.2449  0.5000  0.6972 x4

Properties
uncorrected formation energy = -862.8 meV per atom

Computed, not measured: a relaxed structure of Rb2VTe4 at the PBE level of DFT.

Lattice parameters (Å, degrees): 6.7919 7.5675 12.0791 75.15 89.97 89.93
Space group P-1 (No. 2)
Unique sites:
Rb  0.2496  0.1939  0.4640 x2
Rb  0.2499  0.2821  0.9391 x2
V  0.2502  0.7992  0.2800 x2
Te  0.0154  0.9559  0.7799 x2
Te  0.2501  0.5583  0.1725 x2
Te  0.2505  0.6659  0.4895 x2
Te  0.4848  0.9561  0.7800 x2

Properties
polymorph energy (0 for the lowest one) = 0.0 meV per atom
uncorrected formation energy = -564.2 meV per atom

Computed, not measured: a relaxed structure of Rb2V3Te6 at the PBE level of DFT.

Lattice parameters (Å, degrees): 6.8912 11.7169 9.1181 90.00 105.54 90.00
Space group C2/m (No. 12)
Unique sites:
Rb  0.0000  0.1607  0.0000 x4
V  0.0000  0.0000  0.5000 x2
V  0.0000  0.3128  0.5000 x4
Te  0.2160  0.5000  0.6640 x4
Te  0.2411  0.1608  0.6860 x8

Properties
uncorrected formation energy = -515.7 meV per atom

Computed, not measured: a relaxed structure of Rb3VTe3 at the PBE level of DFT.

Lattice parameters (Å, degrees): 8.9661 14.3454 11.8438 90.00 127.31 90.00
Space group P2_1/c (No. 14)
Unique sites:
Rb  0.1214  0.1266  0.4758 x4
Rb  0.1436  0.0749  0.8915 x4
Rb  0.3774  0.6920  0.5949 x4
V  0.4330  0.0581  0.3380 x4
Te  0.1430  0.1714  0.1833 x4
Te  0.3556  0.6099  0.8876 x4
Te  0.3787  0.5512  0.2650 x4

Properties
uncorrected formation energy = -775.8 meV per atom

no.,DOS(E_F) (states/eV/f.u.)
1,13.2
2,1.7
3,7.6
4,2.5